No. 1
DFT (GGA-PBE) results for a relaxed structure of Ce2DyIn.

a = 5.494 Å, b = 5.494 Å, c = 5.494 Å
α = 60.00°, β = 60.00°, γ = 60.00°
Positions (direct):
Ce1 0.250 0.250 0.250
Ce2 0.750 0.750 0.750
Dy1 0.000 0.000 0.000
In1 0.500 0.500 0.500

Computed properties:
Energy relative to the elements (kJ/mol of atoms): -3.1
Crystal system: cubic
Space group: No. 225
Calculated total energy (eV for the cell shown): -19.34

***

No. 2
DFT (GGA-PBE) results for a relaxed structure of AcTb12Ho7.

a = 9.843 Å, b = 9.843 Å, c = 9.843 Å
α = 109.47°, β = 109.47°, γ = 109.47°
Positions (direct):
Ac1 0.000 0.000 0.000
Tb1 0.000 0.264 0.736
Tb2 0.000 0.736 0.264
Tb3 0.264 0.000 0.736
Tb4 0.264 0.264 0.528
Tb5 0.264 0.528 0.264
Tb6 0.264 0.736 0.000
Tb7 0.472 0.736 0.736
Tb8 0.528 0.264 0.264
Tb9 0.736 0.000 0.264
Tb10 0.736 0.264 0.000
Tb11 0.736 0.472 0.736
Tb12 0.736 0.736 0.472
Ho1 0.000 0.000 0.500
Ho2 0.000 0.500 0.000
Ho3 0.000 0.500 0.500
Ho4 0.500 0.000 0.000
Ho5 0.500 0.000 0.500
Ho6 0.500 0.500 0.000
Ho7 0.500 0.500 0.500

Computed properties:
Energy relative to the elements (kJ/mol of atoms): 64.9
Crystal system: cubic
Space group: No. 229
Calculated total energy (eV for the cell shown): -78.27

***

No. 3
DFT (GGA-PBE) results for a relaxed structure of PuAs3Pd.

a = 12.003 Å, b = 5.684 Å, c = 5.749 Å
α = 90.00°, β = 90.00°, γ = 90.00°
Positions (direct):
Pu1 0.187 0.004 0.250
Pu2 0.187 0.496 0.750
Pu3 0.813 0.504 0.250
Pu4 0.813 0.996 0.750
As1 0.002 0.750 0.000
As2 0.002 0.750 0.500
As3 0.256 0.503 0.250
As4 0.256 0.997 0.750
As5 0.423 0.131 0.250
As6 0.423 0.369 0.750
As7 0.577 0.631 0.250
As8 0.577 0.869 0.750
As9 0.744 0.003 0.250
As10 0.744 0.497 0.750
As11 0.998 0.250 0.000
As12 0.998 0.250 0.500
Pd1 0.411 0.750 0.000
Pd2 0.411 0.750 0.500
Pd3 0.589 0.250 0.000
Pd4 0.589 0.250 0.500

Computed properties:
Energy relative to the elements (kJ/mol of atoms): -54.7
Crystal system: orthorhombic
Space group: No. 57
Calculated total energy (eV for the cell shown): -145.23

***

No. 4
DFT (GGA-PBE) results for a relaxed structure of NaAc4Y3Se8.

a = 8.622 Å, b = 8.622 Å, c = 8.622 Å
α = 59.46°, β = 59.46°, γ = 59.46°
Positions (direct):
Na1 0.000 0.000 0.000
Ac1 0.000 0.000 0.500
Ac2 0.000 0.500 0.000
Ac3 0.500 0.000 0.000
Ac4 0.500 0.500 0.500
Y1 0.000 0.500 0.500
Y2 0.500 0.000 0.500
Y3 0.500 0.500 0.000
Se1 0.242 0.242 0.739
Se2 0.242 0.739 0.242
Se3 0.259 0.259 0.259
Se4 0.261 0.758 0.758
Se5 0.739 0.242 0.242
Se6 0.741 0.741 0.741
Se7 0.758 0.261 0.758
Se8 0.758 0.758 0.261

Computed properties:
Crystal system: trigonal
Space group: No. 166
Calculated total energy (eV for the cell shown): -93.46

***

No. 5
DFT (GGA-PBE) results for a relaxed structure of Al6Os.

a = 4.985 Å, b = 4.985 Å, c = 9.058 Å
α = 90.00°, β = 90.00°, γ = 82.84°
Positions (direct):
Al1 0.021 0.622 0.250
Al2 0.141 0.859 0.598
Al3 0.141 0.859 0.902
Al4 0.319 0.319 0.000
Al5 0.319 0.319 0.500
Al6 0.378 0.979 0.250
Al7 0.622 0.021 0.750
Al8 0.681 0.681 0.000
Al9 0.681 0.681 0.500
Al10 0.859 0.141 0.098
Al11 0.859 0.141 0.402
Al12 0.979 0.378 0.750
Os1 0.465 0.535 0.750
Os2 0.535 0.465 0.250

Computed properties:
Energy relative to the elements (kJ/mol of atoms): -27.1
Crystal system: orthorhombic
Space group: No. 63
Calculated total energy (eV for the cell shown): -71.31

***

No. 6
DFT (GGA-PBE) results for a relaxed structure of Rb2SiBr6F.

a = 7.630 Å, b = 7.630 Å, c = 7.630 Å
α = 122.09°, β = 122.09°, γ = 86.41°
Positions (direct):
Rb1 0.250 0.750 0.500
Rb2 0.750 0.250 0.500
Si1 0.000 0.000 0.000
Br1 0.220 0.220 0.000
Br2 0.233 0.233 0.465
Br3 0.233 0.767 0.000
Br4 0.767 0.233 0.000
Br5 0.767 0.767 0.535
Br6 0.780 0.780 0.000
F1 0.500 0.500 0.000

Computed properties:
Crystal system: tetragonal
Space group: No. 139
Calculated total energy (eV for the cell shown): -29.57

***

No. 7
DFT (GGA-PBE) results for a relaxed structure of AcZn4Cr.

a = 5.471 Å, b = 5.471 Å, c = 5.471 Å
α = 60.00°, β = 60.00°, γ = 60.00°
Positions (direct):
Ac1 0.000 0.000 0.000
Zn1 0.131 0.623 0.623
Zn2 0.623 0.131 0.623
Zn3 0.623 0.623 0.131
Zn4 0.623 0.623 0.623
Cr1 0.250 0.250 0.250

Computed properties:
Energy relative to the elements (kJ/mol of atoms): 0.3
Crystal system: cubic
Space group: No. 216
Calculated total energy (eV for the cell shown): -18.81

***

No. 8
DFT (GGA-PBE) results for a relaxed structure of NdHo2Al9.

a = 9.338 Å, b = 9.338 Å, c = 9.338 Å
α = 34.86°, β = 34.86°, γ = 34.86°
Positions (direct):
Nd1 0.000 0.000 0.000
Ho1 0.142 0.142 0.142
Ho2 0.858 0.858 0.858
Al1 0.076 0.588 0.588
Al2 0.336 0.336 0.336
Al3 0.412 0.412 0.924
Al4 0.412 0.924 0.412
Al5 0.500 0.500 0.500
Al6 0.588 0.076 0.588
Al7 0.588 0.588 0.076
Al8 0.664 0.664 0.664
Al9 0.924 0.412 0.412

Computed properties:
Energy relative to the elements (kJ/mol of atoms): -37.3
Crystal system: trigonal
Space group: No. 166
Calculated total energy (eV for the cell shown): -52.24